An optimized crystal structure of MgMoI2O, computed with PBE+U.

Geometry as POSCAR:
```
MgMoI2O
1.0
-3.096 3.075 -4.067
0.460 -4.570 -3.806
-3.351 -1.511 1.409
I Mo Mg O
2 1 1 1
direct
0.500 0.000 0.000 I
0.000 0.500 0.000 I
0.000 0.000 0.000 Mo
0.500 0.500 0.500 Mg
0.000 0.000 0.500 O
```

Results
Density of states at the Fermi level: 2.71 states/eV per cell
SG: No. 123
Raw total energy: -3.77 eV/atom